Entry P
This record from Alexandria describes Fe3ReB after structural relaxation. The functional is PBE-GGA.

Results
Space-group type   Pm-3m, No. 221

a = 4.4750 Å, b = 4.4750 Å, c = 4.4750 Å
α = 90.00°, β = 90.00°, γ = 90.00°
Positions (direct):
Fe: 0.5000 0.0000 0.0000
Fe: 0.0000 0.5000 0.0000
Fe: 0.0000 0.0000 0.5000
B: 0.5000 0.5000 0.5000
Re: 0.0000 0.0000 0.0000

***

Entry Q
This record from Alexandria describes Fe3ReB after structural relaxation. The functional is PBE-GGA.

Results
Space-group type   Pm-3m, No. 221

a = 3.7727 Å, b = 3.7727 Å, c = 3.7727 Å
α = 90.00°, β = 90.00°, γ = 90.00°
Positions (direct):
Re: 0.5000 0.5000 0.5000
Fe: 0.0000 0.0000 0.5000
Fe: 0.0000 0.5000 0.0000
Fe: 0.5000 0.0000 0.0000
B: 0.0000 0.0000 0.0000

***

Stability, highest: entry Q

***

Entry P
This record from Alexandria describes Fe2B2Rh after structural relaxation. The functional is PBE-GGA.

Results
Space-group type   I4/mmm, No. 139

a = 3.3127 Å, b = 3.3127 Å, c = 5.0359 Å
α = 70.80°, β = 70.80°, γ = 90.00°
Positions (direct):
B: 0.5989 0.5989 0.8022
B: 0.4011 0.4011 0.1978
Fe: 0.2500 0.7500 0.5000
Fe: 0.7500 0.2500 0.5000
Rh: 0.0000 0.0000 0.0000

***

Entry Q
This record from Alexandria describes Fe2B2Rh after structural relaxation. The functional is PBE-GGA.

Results
Space-group type   P4/mbm, No. 127

a = 5.6862 Å, b = 5.6862 Å, c = 2.9413 Å
α = 90.00°, β = 90.00°, γ = 90.00°
Positions (direct):
B: 0.6153 0.1153 0.0000
B: 0.8847 0.6153 0.0000
B: 0.3847 0.8847 0.0000
B: 0.1153 0.3847 0.0000
Fe: 0.8385 0.3385 0.5000
Fe: 0.1615 0.6615 0.5000
Fe: 0.3385 0.1615 0.5000
Fe: 0.6615 0.8385 0.5000
Rh: 0.5000 0.5000 0.0000
Rh: 0.0000 0.0000 0.0000

***

Stability, highest: entry Q

***

Entry P
This record from Alexandria describes FeB3Rh after structural relaxation. The functional is PBE-GGA.

Results
Space-group type   Pm-3m, No. 221

a = 4.0018 Å, b = 4.0018 Å, c = 4.0018 Å
α = 90.00°, β = 90.00°, γ = 90.00°
Positions (direct):
Fe: 0.5000 0.5000 0.5000
B: 0.0000 0.5000 0.0000
B: 0.5000 0.0000 0.0000
B: 0.0000 0.0000 0.5000
Rh: 0.0000 0.0000 0.0000

***

Entry Q
This record from Alexandria describes FeB3Rh after structural relaxation. The functional is PBE-GGA.

Results
Space-group type   Pm-3m, No. 221

a = 3.7011 Å, b = 3.7011 Å, c = 3.7011 Å
α = 90.00°, β = 90.00°, γ = 90.00°
Positions (direct):
Fe: 0.0000 0.0000 0.0000
B: 0.5000 0.0000 0.0000
B: 0.0000 0.0000 0.5000
B: 0.0000 0.5000 0.0000
Rh: 0.5000 0.5000 0.5000

***

Stability, highest: entry Q

***

Entry P
This record from Alexandria describes FeBRu3 after structural relaxation. The functional is PBE-GGA.

Results
Space-group type   Pm-3m, No. 221

a = 4.3464 Å, b = 4.3464 Å, c = 4.3464 Å
α = 90.00°, β = 90.00°, γ = 90.00°
Positions (direct):
Ru: 0.0000 0.5000 0.0000
Ru: 0.5000 0.0000 0.0000
Ru: 0.0000 0.0000 0.5000
Fe: 0.0000 0.0000 0.0000
B: 0.5000 0.5000 0.5000

***

Entry Q
This record from Alexandria describes FeBRu3 after structural relaxation. The functional is PBE-GGA.

Results
Space-group type   Pm-3m, No. 221

a = 3.9967 Å, b = 3.9967 Å, c = 3.9967 Å
α = 90.00°, β = 90.00°, γ = 90.00°
Positions (direct):
B: 0.0000 0.0000 0.0000
Ru: 0.0000 0.0000 0.5000
Ru: 0.0000 0.5000 0.0000
Ru: 0.5000 0.0000 0.0000
Fe: 0.5000 0.5000 0.5000

***

Stability, highest: entry Q

***

Entry P
This record from Alexandria describes Fe2BS after structural relaxation. The functional is PBE-GGA.

Results
Space-group type   Cmc2_1, No. 36

a = 2.7108 Å, b = 12.5834 Å, c = 4.8085 Å
α = 90.00°, β = 90.00°, γ = 90.00°
Positions (direct):
Fe: 0.0000 0.3523 0.8366
Fe: 0.5000 0.9404 0.3327
Fe: 0.0000 0.4404 0.3327
Fe: 0.5000 0.1477 0.3366
Fe: 0.5000 0.8523 0.8366
Fe: 0.0000 0.5596 0.8327
Fe: 0.5000 0.0596 0.8327
Fe: 0.0000 0.6477 0.3366
B: 0.5000 0.5454 0.5095
B: 0.5000 0.4546 0.0095
B: 0.0000 0.0454 0.5095
B: 0.0000 0.9546 0.0095
S: 0.0000 0.8099 0.4999
S: 0.0000 0.1901 0.9999
S: 0.5000 0.6901 0.9999
S: 0.5000 0.3099 0.4999

***

Entry Q
This record from Alexandria describes Fe2BS after structural relaxation. The functional is PBE-GGA.

Results
Space-group type   C2/m, No. 12

a = 3.1742 Å, b = 10.3285 Å, c = 5.2467 Å
α = 90.00°, β = 109.86°, γ = 90.00°
Positions (direct):
Fe: 0.6427 0.3726 0.7740
Fe: 0.3573 0.1274 0.7260
Fe: 0.3573 0.8726 0.7260
Fe: 0.6427 0.1274 0.2740
Fe: 0.3573 0.3726 0.2260
Fe: 0.6427 0.8726 0.2740
Fe: 0.3573 0.6274 0.2260
Fe: 0.6427 0.6274 0.7740
S: 0.0000 0.3070 0.5000
S: 0.0000 0.6930 0.5000
S: 0.0000 0.8070 0.0000
S: 0.0000 0.1930 0.0000
B: 0.7955 0.0000 0.5907
B: 0.7955 0.5000 0.0907
B: 0.2045 0.0000 0.4093
B: 0.2045 0.5000 0.9093

***

Entry R
This record from Alexandria describes Fe2BS after structural relaxation. The functional is PBE-GGA.

Results
Space-group type   C2/m, No. 12

a = 5.3760 Å, b = 2.9628 Å, c = 11.5678 Å
α = 90.00°, β = 111.35°, γ = 90.00°
Positions (direct):
B: 0.5389 0.5000 0.2218
B: 0.4611 0.0000 0.2782
B: 0.4611 0.5000 0.7782
B: 0.5389 0.0000 0.7218
Fe: 0.1430 0.5000 0.2049
Fe: 0.4299 0.0000 0.0934
Fe: 0.1430 0.0000 0.7049
Fe: 0.5701 0.0000 0.9066
Fe: 0.8570 0.5000 0.7951
Fe: 0.4299 0.5000 0.5934
Fe: 0.5701 0.5000 0.4066
Fe: 0.8570 0.0000 0.2951
S: 0.1516 0.5000 0.4028
S: 0.8484 0.5000 0.5972
S: 0.8484 0.0000 0.0972
S: 0.1516 0.0000 0.9028

***

Entry S
This record from Alexandria describes Fe2BS after structural relaxation. The functional is PBE-GGA.

Results
Space-group type   Cm, No. 8

a = 6.9162 Å, b = 2.9438 Å, c = 9.6873 Å
α = 90.00°, β = 120.38°, γ = 90.00°
Positions (direct):
B: 0.1873 0.0000 0.5236
B: 0.2485 0.5000 0.2241
B: 0.1873 0.5000 0.0236
B: 0.2485 0.0000 0.7241
Fe: 0.0688 0.5000 0.3468
Fe: 0.0688 0.0000 0.8468
Fe: 0.0212 0.0000 0.0938
Fe: 0.4420 0.5000 0.6528
Fe: 0.0212 0.5000 0.5938
Fe: 0.4420 0.0000 0.1528
Fe: 0.3997 0.5000 0.9085
Fe: 0.3997 0.0000 0.4085
S: 0.8090 0.0000 0.2077
S: 0.6250 0.0000 0.8806
S: 0.6250 0.5000 0.3806
S: 0.8090 0.5000 0.7077

***

Stability, highest: entry R

***

Entry P
This record from Alexandria describes Fe2BS after structural relaxation. The functional is PBE-GGA.

Results
Space-group type   Pm, No. 6

a = 5.1026 Å, b = 2.8209 Å, c = 5.7844 Å
α = 90.00°, β = 98.39°, γ = 90.00°
Positions (direct):
Fe: 0.6849 0.5000 0.4052
Fe: 0.0995 0.0000 0.5162
Fe: 0.6883 0.5000 0.9603
Fe: 0.2112 0.5000 0.1414
B: 0.8853 0.0000 0.1941
B: 0.5090 0.0000 0.1522
S: 0.5152 0.0000 0.6490
S: 0.0492 0.5000 0.7831

***

Entry Q
This record from Alexandria describes Fe2BS after structural relaxation. The functional is PBE-GGA.

Results
Space-group type   Pm, No. 6

a = 4.6832 Å, b = 2.8891 Å, c = 6.4479 Å
α = 90.00°, β = 94.37°, γ = 90.00°
Positions (direct):
S: 0.9808 0.5000 0.6496
S: 0.5050 0.0000 0.8651
Fe: 0.7134 0.0000 0.4599
Fe: 0.6846 0.5000 0.1158
Fe: 0.1947 0.5000 0.3646
Fe: 0.1792 0.5000 0.9686
B: 0.3821 0.0000 0.2012
B: 0.0028 0.0000 0.1768

***

Entry R
This record from Alexandria describes Fe2BS after structural relaxation. The functional is PBE-GGA.

Results
Space-group type   Amm2, No. 38

a = 5.3841 Å, b = 2.7545 Å, c = 11.1897 Å
α = 90.00°, β = 90.00°, γ = 90.00°
Positions (direct):
B: 0.7718 0.5000 0.4082
B: 0.2282 0.0000 0.9082
B: 0.2282 0.5000 0.4082
B: 0.7718 0.0000 0.9082
Fe: 0.0000 0.0000 0.4748
Fe: 0.7520 0.5000 0.7706
Fe: 0.5000 0.0000 0.4717
Fe: 0.2480 0.5000 0.7706
Fe: 0.5000 0.5000 0.9717
Fe: 0.7520 0.0000 0.2706
Fe: 0.0000 0.5000 0.9748
Fe: 0.2480 0.0000 0.2706
S: 0.0000 0.0000 0.6721
S: 0.0000 0.5000 0.1721
S: 0.5000 0.5000 0.6231
S: 0.5000 0.0000 0.1231

***

Entry S
This record from Alexandria describes Fe2BS after structural relaxation. The functional is PBE-GGA.

Results
Space-group type   Cm, No. 8

a = 4.8305 Å, b = 3.0286 Å, c = 11.8805 Å
α = 90.00°, β = 98.62°, γ = 90.00°
Positions (direct):
Fe: 0.6507 0.5000 0.2770
Fe: 0.7277 0.5000 0.5997
Fe: 0.2417 0.5000 0.6616
Fe: 0.6507 0.0000 0.7770
Fe: 0.7277 0.0000 0.0997
Fe: 0.0569 0.0000 0.9480
Fe: 0.0569 0.5000 0.4480
Fe: 0.2417 0.0000 0.1616
S: 0.9792 0.0000 0.2985
S: 0.9792 0.5000 0.7985
S: 0.4963 0.5000 0.4315
S: 0.4963 0.0000 0.9315
B: 0.4464 0.0000 0.6150
B: 0.4464 0.5000 0.1150
B: 0.0437 0.5000 0.0694
B: 0.0437 0.0000 0.5694

***

Stability, highest: entry R